A plane-wave DFT calculation with GGA-PBE was carried out for crystalline BIrPb3 at its relaxed geometry.

Lattice parameters (Å, degrees): 5.298 5.298 5.298 90.00 90.00 90.00
Atoms (fractional coordinates):
B (0.000, 0.000, 0.000)
Ir (0.500, 0.500, 0.500)
Pb (0.000, 0.500, 0.500)
Pb (0.500, 0.000, 0.500)
Pb (0.500, 0.500, 0.000)

**Formation energy**: 1.17 eV/atom
**Total magnetic moment**: 0.00 μB/cell
**Relative energy among the computed polymorphs**: 35 kJ/mol of formula units
**DFT total energy**: -20.8 eV for the cell shown